No. 1
FeCuIN2: relaxed, PBE.

Calculated values
* theoretical density: 4672 kg/m3
* energy relative to the elements, uncorrected: 1.718 eV per atom
* Fermi-level density of states: 1.34 states/eV/atom
* final energy: -4.43 eV/atom
* offset from the most stable computed form: 386 kJ/mol of formula units

Unit cell a=3.769 b=3.769 c=6.865 alpha=90.00 beta=90.00 gamma=90.00
Atoms (fractional coordinates):
I (0.000, 0.000, 0.500)
Fe (0.500, 0.500, 0.500)
N (0.500, 0.000, 0.000)
N (0.000, 0.500, 0.000)
Cu (0.000, 0.000, 0.000)

No. 2
KTc: relaxed, PBE.

Calculated values
* theoretical density: 4748 kg/m3
* Fermi-level density of states: 0.57 states/eV/atom
* final energy: -4.71 eV/atom
* offset from the most stable computed form: 51 kJ/mol of formula units

Unit cell a=3.042 b=3.042 c=11.968 alpha=90.00 beta=90.00 gamma=120.00
Atoms (fractional coordinates):
Tc (0.667, 0.333, 0.702)
Tc (0.000, 0.000, 0.548)
K (0.000, 0.000, 0.950)
K (0.667, 0.333, 0.300)

No. 3
Li2Nd3Al9: relaxed, PBE.

Calculated values
* theoretical density: 4004 kg/m3
* Fermi-level density of states: 0.55 states/eV/atom
* final energy: -4.08 eV/atom

Unit cell a=4.434 b=8.467 c=8.467 alpha=71.89 beta=74.82 gamma=74.82
Atoms (fractional coordinates):
Al (0.864, 0.859, 0.413)
Li (0.500, 0.700, 0.300)
Al (0.659, 0.707, 0.975)
Nd (0.691, 0.309, 0.309)
Nd (0.000, 0.000, 0.000)
Al (0.136, 0.141, 0.587)
Al (0.341, 0.025, 0.293)
Al (0.136, 0.587, 0.141)
Li (0.500, 0.300, 0.700)
Al (0.659, 0.975, 0.707)
Al (0.341, 0.293, 0.025)
Al (0.864, 0.413, 0.859)
Nd (0.309, 0.691, 0.691)
Al (0.000, 0.500, 0.500)

No. 4
PuHRh: relaxed, PBE.

Calculated values
* theoretical density: 11468 kg/m3
* Fermi-level density of states: 2.93 states/eV/atom
* final energy: -8.45 eV/atom
* offset from the most stable computed form: 86 kJ/mol of formula units

Unit cell a=3.837 b=3.837 c=4.367 alpha=116.07 beta=116.07 gamma=90.00
Atoms (fractional coordinates):
H (0.312, 0.312, 0.623)
Rh (0.555, 0.555, 0.110)
Pu (0.983, 0.983, 0.967)

No. 5
CaClF3: relaxed, PBE.

Calculated values
* theoretical density: 2446 kg/m3
* energy relative to the elements, uncorrected: -2.044 eV per atom
* Fermi-level density of states: 0.62 states/eV/atom
* final energy: -3.94 eV/atom
* offset from the most stable computed form: 186 kJ/mol of formula units

Unit cell a=4.481 b=4.481 c=4.481 alpha=90.00 beta=90.00 gamma=90.00
Atoms (fractional coordinates):
Cl (0.500, 0.500, 0.500)
F (0.000, 0.500, 0.000)
Ca (0.000, 0.000, 0.000)
F (0.500, 0.000, 0.000)
F (0.000, 0.000, 0.500)

No. 6
Ac2CoH6Ir: relaxed, PBE.

Calculated values
* theoretical density: 10273 kg/m3
* Fermi-level density of states: 0.33 states/eV/atom
* final energy: -4.82 eV/atom

Unit cell a=5.228 b=5.228 c=5.599 alpha=117.83 beta=117.83 gamma=90.00
Atoms (fractional coordinates):
H (0.747, 0.747, 0.000)
Co (0.000, 0.000, 0.000)
Ac (0.750, 0.250, 0.500)
Ir (0.500, 0.500, 0.000)
H (0.809, 0.810, 0.619)
H (0.190, 0.191, 0.380)
H (0.747, 0.254, 0.000)
H (0.253, 0.747, 0.000)
H (0.253, 0.254, 0.000)
Ac (0.250, 0.750, 0.500)

No. 7
MnHg3Pd6: relaxed, PBE.

Calculated values
* theoretical density: 12674 kg/m3
* Fermi-level density of states: 0.35 states/eV/atom
* final energy: -4.29 eV/atom
* offset from the most stable computed form: 0 kJ/mol of formula units

Unit cell a=4.667 b=7.782 c=9.885 alpha=109.02 beta=90.00 gamma=90.00
Atoms (fractional coordinates):
Pd (0.250, 0.152, 0.191)
Pd (0.750, 0.947, 0.123)
Pd (0.250, 0.235, 0.488)
Pd (0.750, 0.135, 0.695)
Pd (0.250, 0.454, 0.086)
Hg (0.750, 0.457, 0.611)
Pd (0.250, 0.670, 0.688)
Pd (0.750, 0.765, 0.512)
Hg (0.750, 0.229, 0.008)
Pd (0.750, 0.330, 0.312)
Hg (0.250, 0.354, 0.787)
Pd (0.250, 0.053, 0.877)
Pd (0.750, 0.546, 0.914)
Pd (0.250, 0.865, 0.305)
Pd (0.750, 0.848, 0.809)
Hg (0.250, 0.771, 0.992)
Hg (0.250, 0.543, 0.389)
Hg (0.750, 0.646, 0.213)
Mn (0.250, 0.953, 0.592)
Mn (0.750, 0.047, 0.408)

No. 8
RbAcHfO4: relaxed, PBE.

Calculated values
* theoretical density: 7957 kg/m3
* energy relative to the elements, uncorrected: -2.962 eV per atom
* Fermi-level density of states: 0.00 states/eV/atom
* final energy: -7.94 eV/atom

Unit cell a=5.856 b=5.897 c=7.319 alpha=90.00 beta=113.58 gamma=90.00
Atoms (fractional coordinates):
O (0.500, 0.500, 0.500)
Rb (0.405, 0.250, 0.809)
O (0.000, 0.500, 0.500)
O (0.076, 0.750, 0.152)
Hf (0.749, 0.250, 0.498)
Hf (0.251, 0.750, 0.502)
O (0.500, 0.000, 0.500)
Ac (0.106, 0.250, 0.213)
O (0.924, 0.250, 0.848)
O (0.398, 0.750, 0.796)
Rb (0.595, 0.750, 0.191)
O (0.602, 0.250, 0.204)
O (0.000, 0.000, 0.500)
Ac (0.894, 0.750, 0.787)

No. 9
LiTb2Tl: relaxed, PBE.

Calculated values
* theoretical density: 8325 kg/m3
* Fermi-level density of states: 0.88 states/eV/atom
* final energy: -3.57 eV/atom

Unit cell a=4.140 b=5.049 c=5.049 alpha=90.00 beta=90.00 gamma=90.00
Atoms (fractional coordinates):
Tl (0.500, 0.500, 0.500)
Tb (0.000, 0.500, 0.000)
Li (0.500, 0.000, 0.000)
Tb (0.000, 0.000, 0.500)

No. 10
CeAl2Co: relaxed, PBE.

Calculated values
* theoretical density: 6227 kg/m3
* Fermi-level density of states: 1.28 states/eV/atom
* final energy: -5.25 eV/atom

Unit cell a=2.884 b=2.884 c=9.512 alpha=81.28 beta=81.28 gamma=60.00
Atoms (fractional coordinates):
Ce (0.500, 0.500, 0.500)
Al (0.268, 0.268, 0.196)
Al (0.732, 0.732, 0.804)
Co (0.000, 0.000, 0.000)

No. 11
PuAgPd2: relaxed, PBE.

Calculated values
* theoretical density: 12372 kg/m3
* Fermi-level density of states: 3.34 states/eV/atom
* final energy: -7.24 eV/atom
* offset from the most stable computed form: 0 kJ/mol of formula units

Unit cell a=5.889 b=5.890 c=5.890 alpha=83.35 beta=63.76 gamma=116.24
Atoms (fractional coordinates):
Pu (0.000, 0.250, 0.750)
Pd (0.500, 0.250, 0.750)
Ag (0.500, 0.250, 0.250)
Pu (0.000, 0.750, 0.250)
Pd (0.500, 0.750, 0.250)
Pd (0.000, 0.750, 0.750)
Pd (0.000, 0.250, 0.250)
Ag (0.500, 0.750, 0.750)

No. 12
SrTmNi2As2: relaxed, PBE.

Calculated values
* theoretical density: 7317 kg/m3
* Fermi-level density of states: 0.64 states/eV/atom
* final energy: -5.43 eV/atom

Unit cell a=4.072 b=4.072 c=8.279 alpha=90.00 beta=90.00 gamma=120.00
Atoms (fractional coordinates):
Ni (0.667, 0.333, 0.282)
Sr (0.000, 0.000, 0.000)
As (0.333, 0.667, 0.271)
Tm (0.000, 0.000, 0.500)
Ni (0.333, 0.667, 0.718)
As (0.667, 0.333, 0.729)

No. 13
HfPN2: relaxed, PBE.

Calculated values
* theoretical density: 7303 kg/m3
* energy relative to the elements, uncorrected: -0.077 eV per atom
* Fermi-level density of states: 0.40 states/eV/atom
* final energy: -8.08 eV/atom

Unit cell a=4.666 b=4.666 c=5.957 alpha=66.94 beta=66.94 gamma=90.00
Atoms (fractional coordinates):
N (0.146, 0.625, 0.250)
P (0.250, 0.750, 0.500)
Hf (0.750, 0.250, 0.500)
Hf (0.000, 0.000, 0.000)
P (0.500, 0.500, 0.000)
N (0.604, 0.125, 0.250)
N (0.375, 0.396, 0.750)
N (0.875, 0.854, 0.750)

No. 14
TiPbBr3: relaxed, PBE.

Calculated values
* theoretical density: 5644 kg/m3
* energy relative to the elements, uncorrected: -0.530 eV per atom
* Fermi-level density of states: 1.74 states/eV/atom
* final energy: -3.85 eV/atom
* offset from the most stable computed form: 0 kJ/mol of formula units

Unit cell a=5.260 b=5.260 c=5.260 alpha=90.00 beta=90.00 gamma=90.00
Atoms (fractional coordinates):
Ti (0.000, 0.000, 0.000)
Br (0.500, 0.000, 0.000)
Br (0.000, 0.500, 0.000)
Br (0.000, 0.000, 0.500)
Pb (0.500, 0.500, 0.500)

No. 15
LiTeH4: relaxed, PBE.

Calculated values
* theoretical density: 2666 kg/m3
* final energy: -3.29 eV/atom

Unit cell a=4.981 b=5.764 c=7.231 alpha=66.51 beta=80.31 gamma=65.03
Atoms (fractional coordinates):
H (0.466, 0.194, 0.073)
H (0.966, 0.267, 0.927)
Li (0.250, 0.181, 0.637)
H (0.630, 0.876, 0.855)
Te (0.750, 0.282, 0.436)
H (0.370, 0.124, 0.145)
H (0.130, 0.731, 0.145)
Te (0.250, 0.718, 0.564)
Li (0.750, 0.819, 0.363)
H (0.870, 0.269, 0.855)
H (0.034, 0.733, 0.073)
H (0.534, 0.806, 0.927)

No. 16
La2SmErSb4: relaxed, PBE.

Calculated values
* theoretical density: 6878 kg/m3
* energy relative to the elements, uncorrected: -1.200 eV per atom
* Fermi-level density of states: 0.13 states/eV/atom
* final energy: -5.65 eV/atom

Unit cell a=4.527 b=7.819 c=7.835 alpha=70.47 beta=90.00 gamma=90.00
Atoms (fractional coordinates):
Sb (0.000, 0.740, 0.750)
La (0.500, 0.000, 0.500)
La (0.000, 0.000, 0.000)
Sb (0.000, 0.260, 0.250)
Sm (0.500, 0.500, 0.000)
Sb (0.500, 0.737, 0.258)
Sb (0.500, 0.263, 0.742)
Er (0.000, 0.500, 0.500)

No. 17
TlAgBiF6: relaxed, PBE.

Calculated values
* theoretical density: 6218 kg/m3
* energy relative to the elements, uncorrected: -1.854 eV per atom
* Fermi-level density of states: 0.55 states/eV/atom
* final energy: -4.11 eV/atom

Unit cell a=6.160 b=6.160 c=10.325 alpha=90.00 beta=90.00 gamma=120.00
Atoms (fractional coordinates):
F (0.020, 0.670, 0.866)
F (0.980, 0.330, 0.134)
F (0.649, 0.670, 0.634)
Bi (0.333, 0.667, 0.750)
Ag (0.667, 0.333, 0.750)
F (0.330, 0.980, 0.634)
Tl (0.000, 0.000, 0.000)
F (0.330, 0.351, 0.866)
Bi (0.667, 0.333, 0.250)
F (0.980, 0.649, 0.366)
F (0.670, 0.020, 0.366)
F (0.351, 0.330, 0.366)
F (0.649, 0.980, 0.866)
Ag (0.333, 0.667, 0.250)
F (0.351, 0.020, 0.134)
F (0.020, 0.351, 0.634)
Tl (0.000, 0.000, 0.500)
F (0.670, 0.649, 0.134)

No. 18
TbPmGdHo: relaxed, PBE.

Calculated values
* theoretical density: 7932 kg/m3
* Fermi-level density of states: 2.19 states/eV/atom
* final energy: -6.89 eV/atom

Unit cell a=5.702 b=5.702 c=5.702 alpha=60.00 beta=60.00 gamma=60.00
Atoms (fractional coordinates):
Pm (0.750, 0.750, 0.750)
Tb (0.500, 0.500, 0.500)
Gd (0.250, 0.250, 0.250)
Ho (0.000, 0.000, 0.000)

No. 19
Li2ReSi: relaxed, PBE.

Calculated values
* theoretical density: 6705 kg/m3
* energy relative to the elements, uncorrected: 0.068 eV per atom
* Fermi-level density of states: 0.60 states/eV/atom
* final energy: -5.36 eV/atom

Unit cell a=3.067 b=3.067 c=6.008 alpha=90.00 beta=90.00 gamma=90.00
Atoms (fractional coordinates):
Li (0.000, 0.000, 0.994)
Si (0.500, 0.500, 0.728)
Li (0.500, 0.500, 0.252)
Re (0.000, 0.000, 0.526)

No. 20
BaOsIO4: relaxed, PBE.

Calculated values
* theoretical density: 4778 kg/m3
* energy relative to the elements, uncorrected: -1.433 eV per atom
* Fermi-level density of states: 0.68 states/eV/atom
* final energy: -6.37 eV/atom

Unit cell a=7.247 b=7.247 c=7.629 alpha=79.88 beta=79.88 gamma=66.93
Atoms (fractional coordinates):
O (0.849, 0.511, 0.858)
O (0.481, 0.481, 0.788)
O (0.519, 0.519, 0.212)
Os (0.629, 0.629, 0.741)
I (0.976, 0.976, 0.748)
Ba (0.242, 0.242, 0.857)
O (0.304, 0.304, 0.487)
Ba (0.758, 0.758, 0.143)
I (0.024, 0.024, 0.252)
O (0.511, 0.849, 0.858)
O (0.696, 0.696, 0.513)
Os (0.371, 0.371, 0.259)
O (0.151, 0.489, 0.142)
O (0.489, 0.151, 0.142)

No. 21
PaZnCoCu: relaxed, PBE.

Calculated values
* theoretical density: 10637 kg/m3
* Fermi-level density of states: 0.75 states/eV/atom
* final energy: -5.54 eV/atom

Unit cell a=4.522 b=4.522 c=4.522 alpha=60.00 beta=60.00 gamma=60.00
Atoms (fractional coordinates):
Pa (0.750, 0.750, 0.750)
Co (0.000, 0.000, 0.000)
Cu (0.500, 0.500, 0.500)
Zn (0.250, 0.250, 0.250)

No. 22
Y3TmCd4: relaxed, PBE.

Calculated values
* theoretical density: 7037 kg/m3
* Fermi-level density of states: 1.00 states/eV/atom
* final energy: -3.78 eV/atom

Unit cell a=3.736 b=3.736 c=14.964 alpha=90.00 beta=90.00 gamma=90.00
Atoms (fractional coordinates):
Cd (0.000, 0.000, 0.375)
Cd (0.000, 0.000, 0.121)
Y (0.500, 0.500, 0.248)
Tm (0.500, 0.500, 0.000)
Cd (0.000, 0.000, 0.879)
Y (0.500, 0.500, 0.752)
Y (0.500, 0.500, 0.500)
Cd (0.000, 0.000, 0.625)

No. 23
Pm3MgPd3: relaxed, PBE.

Calculated values
* theoretical density: 7572 kg/m3
* Fermi-level density of states: 0.71 states/eV/atom
* final energy: -5.09 eV/atom
* offset from the most stable computed form: 79 kJ/mol of formula units

Unit cell a=6.949 b=6.949 c=7.176 alpha=91.57 beta=91.57 gamma=99.48
Atoms (fractional coordinates):
Pd (0.069, 0.069, 0.820)
Pd (0.965, 0.510, 0.713)
Pd (0.490, 0.035, 0.287)
Pm (0.747, 0.253, 0.000)
Pm (0.830, 0.170, 0.500)
Pd (0.510, 0.965, 0.713)
Pm (0.646, 0.646, 0.363)
Pm (0.170, 0.830, 0.500)
Pd (0.931, 0.931, 0.180)
Pm (0.354, 0.354, 0.637)
Pm (0.253, 0.747, 0.000)
Pd (0.035, 0.490, 0.287)
Mg (0.257, 0.257, 0.134)
Mg (0.743, 0.743, 0.866)

No. 24
LiCo2Ag: relaxed, PBE.

Calculated values
* theoretical density: 7049 kg/m3
* Fermi-level density of states: 0.89 states/eV/atom
* final energy: -4.37 eV/atom

Unit cell a=2.591 b=2.591 c=9.187 alpha=90.00 beta=90.00 gamma=117.31
Atoms (fractional coordinates):
Ag (0.500, 0.500, 0.750)
Li (0.500, 0.500, 0.250)
Co (0.000, 0.000, 0.011)
Co (0.000, 0.000, 0.489)